VASP calculation (PBE) on an optimized crystal structure of CsCuBr2.

Properties
Formation energy (no corrections): -1.02 eV/atom
Symmetry: R-3m (166)

Structure (POSCAR):
```
CsCuBr2
1.0
-3.365 -1.317 4.602
-0.225 -5.502 1.981
4.518 -0.856 6.778
Br Cu Cs
2 1 1
direct
0.900 0.900 0.300
0.100 0.100 0.700
0.000 0.000 0.000
0.500 0.500 0.500
```